First-principles (meta-GGA SCAN) data for a PBEsol-optimized structure of SrLu2O4, as listed in Alexandria via LeMat-Bulk.

Formation energy without anion corrections ... -3.742 eV/atom
Excess energy over the best structure of this formula in the dataset ... 0.33 eV per formula unit
Total magnetic moment ... 0.000 Bohr magnetons per cell

Cell: 6.7231 6.7231 6.7231 Å, 60.00 60.00 60.00°
With the nearest neighbours (Å) after each atom.
Fractional positions:
Sr 0.1250 0.1250 0.1250  4 O 2.36
Sr 0.8750 0.8750 0.8750  4 O 2.36
Lu 0.0000 0.5000 0.5000  6 O 2.22
Lu 0.5000 0.0000 0.5000  6 O 2.22
Lu 0.5000 0.5000 0.0000  6 O 2.22
Lu 0.5000 0.5000 0.5000  6 O 2.22
O 0.2683 0.2683 0.2683  3 Lu 2.22, 1 Sr 2.36
O 0.2683 0.2683 0.6951  3 Lu 2.22, 1 Sr 2.36
O 0.2683 0.6951 0.2683  3 Lu 2.22, 1 Sr 2.36
O 0.3049 0.7317 0.7317  3 Lu 2.22, 1 Sr 2.36
O 0.6951 0.2683 0.2683  3 Lu 2.22, 1 Sr 2.36
O 0.7317 0.3049 0.7317  3 Lu 2.22, 1 Sr 2.36
O 0.7317 0.7317 0.3049  3 Lu 2.22, 1 Sr 2.36
O 0.7317 0.7317 0.7317  3 Lu 2.22, 1 Sr 2.36